Entry 1:
A relaxed TbGa2Co2 crystal. Source: the Alexandria database, functional PBE.

CIF file:
```
data_TbGa2Co2
_chemical_formula_sum 'Tb2 Ga4 Co4'
_cell_length_a 4.061
_cell_length_b 4.061
_cell_length_c 9.883
_cell_angle_alpha 90.00
_cell_angle_beta 90.00
_cell_angle_gamma 90.00
_symmetry_space_group_name_H-M 'I 4/m m m'
_symmetry_Int_Tables_number 139
_symmetry_space_group_name_Hall '-I 4 2'
loop_
_atom_site_label
_atom_site_fract_x
_atom_site_fract_y
_atom_site_fract_z
_atom_site_occupancy
Tb1 0.000 0.000 0.000 1
Ga1 0.000 0.000 0.369 1
Co1 0.000 0.500 0.250 1
```

As for the density of states at the Fermi level: 2.8 states/eV/f.u. The calculation puts the energy at -5.40 eV/atom. For the magnetic moment, the calculation gives 0.000 μB per atom.

=====

Entry 2:
A relaxed Ge4Pt5Rh crystal. Source: the Alexandria database, functional PBE.

CIF file:
```
data_Ge4Pt5Rh
_chemical_formula_sum 'Ge8 Pt10 Rh2'
_cell_length_a 7.583
_cell_length_b 8.172
_cell_length_c 5.542
_cell_angle_alpha 90.00
_cell_angle_beta 90.00
_cell_angle_gamma 90.00
_symmetry_space_group_name_H-M 'P m m n'
_symmetry_Int_Tables_number 59
loop_
_symmetry_equiv_pos_as_xyz
'x,y,z'
'-x,-y,-z'
'-x+1/2,-y+1/2,z'
'x+1/2,y+1/2,-z'
'x+1/2,-y,-z'
'-x+1/2,y,z'
'-x,y+1/2,-z'
'x,-y+1/2,z'
loop_
_atom_site_label
_atom_site_fract_x
_atom_site_fract_y
_atom_site_fract_z
_atom_site_occupancy
Ge1 0.050 0.250 0.098 1
Ge2 0.250 0.559 0.419 1
Pt1 0.058 0.035 0.764 1
Pt2 0.250 0.250 0.449 1
Rh1 0.250 0.750 0.087 1
```

As for the density of states at the Fermi level: 4.1 states/eV/f.u. The calculation puts the energy at -5.96 eV/atom. For the magnetic moment, the calculation gives 0.000 μB per atom.

=====

Entry 3:
A relaxed GaFeSb2Te crystal. Source: the Alexandria database, functional PBE.

CIF file:
```
data_GaFeSb2Te
_chemical_formula_sum 'Ga1 Fe1 Sb2 Te1'
_cell_length_a 4.750
_cell_length_b 4.750
_cell_length_c 5.636
_cell_angle_alpha 90.00
_cell_angle_beta 90.00
_cell_angle_gamma 90.00
_symmetry_space_group_name_H-M 'P 4/m m m'
_symmetry_Int_Tables_number 123
_symmetry_space_group_name_Hall '-P 4 2'
loop_
_atom_site_label
_atom_site_fract_x
_atom_site_fract_y
_atom_site_fract_z
_atom_site_occupancy
Ga1 0.000 0.000 0.000 1
Fe1 0.500 0.500 0.500 1
Sb1 0.000 0.500 0.500 1
Te1 0.500 0.500 0.000 1
```

As for the density of states at the Fermi level: 3.9 states/eV/f.u. The calculation puts the energy at -4.20 eV/atom. The uncorrected formation energy comes out at 0.373 eV per atom. For the magnetic moment, the calculation gives 0.004 μB per atom.

=====

Question: Which value of energy does entry 3 give?
Answer: -4.20 eV/atom